(1)
Computed, not measured: an optimized crystal structure of KLiCoGe2 at the PBE-GGA level of DFT.

Unit cell a=4.5406 b=4.5406 c=5.0756 alpha=90.00 beta=90.00 gamma=90.00
Last column: nearest neighbours and their distance in Å.
Atoms (fractional coordinates):
1 Ge 0.0000 0.5000 0.0000  2 Co 2.27
2 Ge 0.5000 0.0000 0.0000  2 Co 2.27
3 Co 0.0000 0.0000 0.0000  4 Ge 2.27, 2 Li 2.54
4 K 0.5000 0.5000 0.5000  4 Li 3.21, 8 Ge 3.41
5 Li 0.0000 0.0000 0.5000  2 Co 2.54

## Properties
theoretical density	3.97	g/cm3
N(E_F)	3.44	states/eV/f.u.
space group	P4/mmm
E_tot	-3.93	eV/atom



(2)
Computed, not measured: an optimized crystal structure of KNb2CoGe at the PBE-GGA level of DFT.

Unit cell a=5.0046 b=4.4947 c=5.0046 alpha=90.00 beta=90.00 gamma=90.00
Last column: nearest neighbours and their distance in Å.
Atoms (fractional coordinates):
1 K 0.5000 0.5000 0.5000  8 Nb 3.36, 4 Co 3.54
2 Nb 0.0000 0.0000 0.5000  2 Ge 2.50
3 Nb 0.5000 0.0000 0.0000  2 Ge 2.50
4 Co 0.0000 0.5000 0.0000  2 Ge 2.25
5 Ge 0.0000 0.0000 0.0000  2 Co 2.25, 4 Nb 2.50

## Properties
theoretical density	5.26	g/cm3
N(E_F)	8.62	states/eV/f.u.
space group	P4/mmm
E_tot	-5.38	eV/atom



- Which of these has the highest N(E_F)?
  KNb2CoGe